[1]
A geometry-optimized Ce4TlSn2 structure. Source: Alexandria via LeMat-Bulk, functional GGA-PBE.

magnetic moment	11.819	μB/cell
total energy	-4.99	eV/atom

Lattice parameters (Å, degrees): 6.0486 6.0486 12.0749 90.00 90.00 90.00
Last column: nearest neighbours and their distance in Å.
Space group I4/mmm (No. 139)
Asymmetric unit:
Ce1 0.0000 0.5000 0.0000 x4  2 Ce 3.02, 2 Tl 3.02
Ce2 0.0000 0.5000 0.2500 x4  2 Ce 3.02, 4 Sn 3.37
Tl1 0.0000 0.0000 0.0000 x2  4 Ce 3.02
Sn1 0.0000 0.0000 0.3727 x4  1 Sn 3.08, 8 Ce 3.37-3.39

[2]
A geometry-optimized Sc2Ir3 structure. Source: Alexandria via LeMat-Bulk, functional GGA-PBE.

polymorph energy (0 for the lowest one)	0	meV per atom
magnetic moment	0.000	μB/cell
total energy	-8.52	eV/atom

Lattice parameters (Å, degrees): 9.5433 13.4244 5.1780 90.00 90.00 90.00
Last column: nearest neighbours and their distance in Å.
Space group Fdd2 (No. 43)
Asymmetric unit:
Sc1 0.0451 0.1964 0.0000 x16  9 Ir 2.71-3.03
Ir1 0.0000 0.0000 0.0873 x8  6 Sc 2.71-3.03, 4 Ir 2.72-2.87
Ir2 0.0591 0.1022 0.5279 x16  5 Ir 2.72-2.97, 6 Sc 2.75-3.02

[3]
A geometry-optimized Nd2GaSi3 structure. Source: Alexandria via LeMat-Bulk, functional GGA-PBE.

polymorph energy (0 for the lowest one)	0	meV per atom
magnetic moment	0.000	μB/cell
total energy	-5.43	eV/atom
ΔE_f (raw)	-0.622	eV per atom

Lattice parameters (Å, degrees): 4.0940 4.1919 7.3421 90.00 90.00 90.00
Last column: nearest neighbours and their distance in Å.
Space group Pmm2 (No. 25)
Asymmetric unit:
Nd1 0.0000 0.0000 0.0000 x1  10 Si 3.16-3.18, 2 Ga 3.26
Nd2 0.5000 0.0000 0.4858 x1  8 Si 3.16-3.31, 4 Ga 3.20
Ga1 0.0000 0.5000 0.6597 x1  3 Si 2.41-2.45
Si1 0.0000 0.5000 0.3262 x1  2 Si 2.38, 1 Ga 2.45
Si2 0.5000 0.5000 0.1602 x1  3 Si 2.38-2.39
Si3 0.5000 0.5000 0.8342 x1  1 Si 2.39, 2 Ga 2.41

[4]
A geometry-optimized KZr2Cd structure. Source: Alexandria via LeMat-Bulk, functional GGA-PBE.

magnetic moment	0.000	μB/cell
total energy	-4.00	eV/atom

Lattice parameters (Å, degrees): 4.3157 4.3157 23.6707 90.00 90.00 90.00
Last column: nearest neighbours and their distance in Å.
Space group I-42d (No. 122)
Asymmetric unit:
K1 0.0000 0.0000 0.0000 x4  4 Cd 3.05, 4 Zr 3.36
Zr1 0.2271 0.2500 0.6250 x8  4 Zr 2.92-3.19
Cd1 0.0000 0.0000 0.5000 x4  4 K 3.05, 4 Zr 3.30

[5]
A geometry-optimized Ba4AsPtBr2 structure. Source: Alexandria via LeMat-Bulk, functional GGA-PBE.

magnetic moment	0.000	μB/cell
total energy	-4.13	eV/atom
ΔE_f (raw)	-1.418	eV per atom

Lattice parameters (Å, degrees): 8.1885 4.6929 8.4774 90.00 107.42 90.00
Last column: nearest neighbours and their distance in Å.
Space group P2/m (No. 10)
Asymmetric unit:
Ba1 0.2372 0.0000 0.2187 x2  1 As 3.23, 2 Pt 3.25, 3 Br 3.50-3.57
Ba2 0.2547 0.5000 0.7903 x2  1 Pt 3.12, 2 As 3.25
As1 0.5000 0.0000 0.0000 x1  6 Ba 3.23-3.25
Pt1 0.0000 0.5000 0.0000 x1  6 Ba 3.12-3.25
Br1 0.0000 0.0000 0.5000 x1  6 Ba 3.50-3.58
Br2 0.5000 0.5000 0.5000 x1  6 Ba 3.57-3.61

[6]
A geometry-optimized Be2PSe structure. Source: Alexandria via LeMat-Bulk, functional GGA-PBE.

polymorph energy (0 for the lowest one)	690	meV per atom
magnetic moment	0.000	μB/cell
total energy	-3.74	eV/atom
ΔE_f (raw)	0.351	eV per atom

Lattice parameters (Å, degrees): 3.3260 5.9064 6.3538 90.00 90.00 90.00
Last column: nearest neighbours and their distance in Å.
Space group Cmmm (No. 65)
Asymmetric unit:
Be1 0.0000 0.0000 0.2271 x4  2 P 2.20, 2 Se 2.40
P1 0.0000 0.5000 0.0000 x2  4 Be 2.20
Se1 0.0000 0.5000 0.5000 x2  4 Be 2.40

[7]
A geometry-optimized Tb9Sm11Y4 structure. Source: Alexandria via LeMat-Bulk, functional GGA-PBE.

magnetic moment	0.000	μB/cell
total energy	-4.91	eV/atom

Lattice parameters (Å, degrees): 16.9443 25.7595 3.6553 90.00 90.00 90.00
Last column: nearest neighbours and their distance in Å.
Space group Cmmm (No. 65)
Asymmetric unit:
Tb1 0.0000 0.0000 0.0000 x2  2 Tb 3.66, 4 Y 3.74, 8 Sm 3.86-4.00
Tb2 0.1024 0.2323 0.0000 x8  3 Tb 3.47-3.66, 1 Y 3.50, 8 Sm 3.53-3.72
Tb3 0.1394 0.4265 0.0000 x8  1 Y 3.52, 8 Sm 3.54-3.75, 3 Tb 3.66-3.78
Sm1 0.0000 0.1319 0.5000 x4  4 Y 3.33, 4 Tb 3.61, 2 Sm 3.66
Sm2 0.0000 0.3384 0.5000 x4  4 Sm 3.66-3.81, 8 Tb 3.72-3.75
Sm3 0.0000 0.5000 0.5000 x2  8 Tb 3.54, 2 Sm 3.66
Sm4 0.2102 0.0000 0.5000 x4  4 Y 3.31, 2 Sm 3.66, 4 Tb 3.66
Sm5 0.2227 0.3186 0.5000 x8  2 Y 3.42, 6 Tb 3.53-3.72, 4 Sm 3.66-3.81
Y1 0.1575 0.1014 0.0000 x8  6 Sm 3.31-3.42, 2 Tb 3.50-3.52, 2 Y 3.66

[8]
A geometry-optimized ErPuAuO6 structure. Source: Alexandria via LeMat-Bulk, functional GGA-PBE.

magnetic moment	0.639	μB/cell
total energy	-7.72	eV/atom
ΔE_f (raw)	-1.950	eV per atom

Lattice parameters (Å, degrees): 5.7266 5.7266 9.0500 90.00 90.00 120.00
Last column: nearest neighbours and their distance in Å.
Space group P-31c (No. 163)
Asymmetric unit:
Er1 0.3333 0.6667 0.2500 x2  6 O 2.25
Pu1 0.3333 0.6667 0.7500 x2  6 O 2.02
Au1 0.0000 0.0000 0.0000 x2  6 O 2.37
O1 0.0301 0.3709 0.6316 x12  1 Pu 2.02, 1 Er 2.25

[9]
A geometry-optimized Er4PPb2 structure. Source: Alexandria via LeMat-Bulk, functional GGA-PBE.

polymorph energy (0 for the lowest one)	42	meV per atom
magnetic moment	0.000	μB/cell
total energy	-5.04	eV/atom

Lattice parameters (Å, degrees): 6.5479 6.5330 9.5429 90.00 109.04 90.00
Last column: nearest neighbours and their distance in Å.
Space group P2_1/m (No. 11)
Asymmetric unit:
Er1 0.1675 0.2500 0.0795 x2  1 P 2.70
Er2 0.2562 0.0026 0.7534 x4  1 P 2.69
Er3 0.3001 0.7500 0.3680 x2  1 P 2.67
P1 0.4919 0.2500 0.3408 x2  4 Er 2.67-2.70, 1 Pb 2.81
Pb1 0.1415 0.2500 0.4502 x2  1 P 2.81
Pb2 0.3402 0.7500 0.0486 x2  8 Er 3.14-3.50

[10]
A geometry-optimized Na2BiP structure. Source: Alexandria via LeMat-Bulk, functional GGA-PBE.

polymorph energy (0 for the lowest one)	5	meV per atom
magnetic moment	0.000	μB/cell
total energy	-2.96	eV/atom

Lattice parameters (Å, degrees): 7.2587 7.2587 7.2587 90.00 90.00 90.00
Last column: nearest neighbours and their distance in Å.
Space group Fm-3m (No. 225)
Asymmetric unit:
Na1 0.2500 0.2500 0.2500 x8  4 Bi 3.14, 4 P 3.14
Bi1 0.0000 0.0000 0.0000 x4  8 Na 3.14
P1 0.0000 0.0000 0.5000 x4  8 Na 3.14

[11]
A geometry-optimized Nd7Er5 structure. Source: Alexandria via LeMat-Bulk, functional GGA-PBE.

polymorph energy (0 for the lowest one)	0	meV per atom
magnetic moment	0.000	μB/cell
total energy	-4.67	eV/atom

Lattice parameters (Å, degrees): 18.7638 3.6346 13.2532 90.00 118.11 90.00
Last column: nearest neighbours and their distance in Å.
Space group C2/m (No. 12)
Asymmetric unit:
Nd1 0.0000 0.0000 0.0000 x2  6 Er 3.57-3.63, 6 Nd 3.59-3.63
Nd2 0.0286 0.5000 0.2499 x4  8 Nd 3.59-3.63, 4 Er 3.60-3.63
Nd3 0.1394 0.0000 0.7515 x4  7 Er 3.54-3.61, 5 Nd 3.56-3.63
Nd4 0.1676 0.0000 0.5040 x4  7 Nd 3.56-3.63, 5 Er 3.59-3.67
Er1 0.0000 0.5000 0.5000 x2  10 Nd 3.60-3.61, 2 Er 3.63
Er2 0.1684 0.5000 0.0023 x4  6 Nd 3.54-3.63, 6 Er 3.55-3.63
Er3 0.1941 0.0000 0.2471 x4  4 Er 3.55-3.63, 8 Nd 3.57-3.67

[12]
A geometry-optimized K2CuP structure. Source: Alexandria via LeMat-Bulk, functional GGA-PBE.

magnetic moment	0.000	μB/cell
total energy	-3.09	eV/atom

Lattice parameters (Å, degrees): 12.2650 12.2650 4.2921 90.00 90.00 90.00
Last column: nearest neighbours and their distance in Å.
Space group I-42d (No. 122)
Asymmetric unit:
K1 0.0193 0.7500 0.1250 x8  2 Cu 3.12, 2 P 3.47
Cu1 0.0000 0.0000 0.0000 x4  2 P 2.15
P1 0.0000 0.0000 0.5000 x4  2 Cu 2.15

| no. | density (Mg/m³) |
| --- | --- |
| 1 | 7.5 |
| 2 | 13.3 |
| 3 | 5.8 |
| 4 | 5.0 |
| 5 | 5.2 |
| 6 | 3.4 |
| 7 | 7.2 |
| 8 | 9.1 |
| 9 | 9.6 |
| 10 | 5.0 |
| 11 | 7.7 |
| 12 | 1.8 |